# 1
Computed, not measured: a geometry-optimized YNb2GePb structure at the PBE level of DFT.

Output
- energy relative to the elements (eV per atom) = 1.397
- V (Å³/atom) = 29.12

Unit cell a=5.240 b=5.240 c=5.301 alpha=90.00 beta=90.00 gamma=90.00
Positions (direct):
Y1 0.000 0.000 0.000
Nb1 0.000 0.500 0.500
Nb2 0.500 0.000 0.500
Ge1 0.500 0.500 0.000
Pb1 0.500 0.500 0.500


# 2
Computed, not measured: a geometry-optimized SmTm3Ru8 structure at the PBE level of DFT.

Output
- energy relative to the elements (eV per atom) = -0.305
- V (Å³/atom) = 17.79

Unit cell a=9.256 b=9.256 c=9.256 alpha=33.35 beta=33.35 gamma=33.35
Positions (direct):
Sm1 0.000 0.000 0.000
Tm1 0.125 0.125 0.125
Tm2 0.500 0.500 0.500
Tm3 0.625 0.625 0.625
Ru1 0.063 0.063 0.559
Ru2 0.063 0.559 0.063
Ru3 0.066 0.563 0.563
Ru4 0.313 0.313 0.313
Ru5 0.559 0.063 0.063
Ru6 0.563 0.066 0.563
Ru7 0.563 0.563 0.066
Ru8 0.813 0.813 0.813


# 3
Computed, not measured: a geometry-optimized HfBi structure at the PBE level of DFT.

Output
- energy relative to the elements (eV per atom) = 0.046
- V (Å³/atom) = 27.60

Unit cell a=3.267 b=13.461 c=7.531 alpha=90.00 beta=90.00 gamma=90.00
Positions (direct):
Hf1 0.250 0.133 0.006
Hf2 0.250 0.367 0.006
Hf3 0.250 0.750 0.278
Hf4 0.750 0.250 0.722
Hf5 0.750 0.633 0.994
Hf6 0.750 0.867 0.994
Bi1 0.250 0.250 0.359
Bi2 0.250 0.523 0.291
Bi3 0.250 0.977 0.291
Bi4 0.750 0.023 0.709
Bi5 0.750 0.477 0.709
Bi6 0.750 0.750 0.641